[1]
First-principles (PBE) data for a geometry-optimized Ti3Bi structure, as listed in Alexandria.

Computed properties:
Formation enthalpy at 0 K: 0.057 eV per atom
Symmetry: Fm-3m

Lattice parameters (Å, degrees): 4.719 4.719 4.719 60.00 60.00 60.00
Site moments in Bohr magnetons follow the coordinates.
Element x y z (fractional)
Bi (0.500, 0.500, 0.500)  -0.02
Ti (0.000, 0.000, 0.000)  0.38
Ti (0.750, 0.750, 0.750)  0.12
Ti (0.250, 0.250, 0.250)  0.12


[2]
First-principles (PBE) data for a geometry-optimized ZrNiBi2Cl structure, as listed in Alexandria.

Computed properties:
Formation energy from raw total energies: 238 meV/atom
Symmetry: P4/mmm

Lattice parameters (Å, degrees): 5.036 5.180 5.036 90.00 90.00 90.00
Element x y z (fractional)
Ni (0.000, 0.000, 0.000)
Bi (0.000, 0.000, 0.500)
Bi (0.500, 0.000, 0.000)
Zr (0.000, 0.500, 0.000)
Cl (0.500, 0.500, 0.500)


[3]
First-principles (PBE) data for a geometry-optimized LaEr5 structure, as listed in Alexandria.

Computed properties:
Formation enthalpy at 0 K: 0.019 eV per atom
Energy above the lowest structure with this stoichiometry: 0 meV/atom
Symmetry: Cm

Lattice parameters (Å, degrees): 3.626 6.713 8.424 102.73 90.00 105.67
Element x y z (fractional)
La (0.720, 0.440, 0.940)
Er (0.998, 0.997, 0.006)
Er (0.666, 0.333, 0.335)
Er (0.337, 0.674, 0.662)
Er (0.391, 0.782, 0.283)
Er (0.054, 0.108, 0.607)


[4]
First-principles (PBE) data for a geometry-optimized Y2I2Cl structure, as listed in Alexandria.

Computed properties:
Formation energy from raw total energies: -1276 meV/atom
Energy above the lowest structure with this stoichiometry: 0 meV/atom
Symmetry: C2/m

Lattice parameters (Å, degrees): 4.137 7.744 11.632 95.34 100.24 90.00
Site moments in Bohr magnetons follow the coordinates.
Element x y z (fractional)
Y (0.188, 0.917, 0.375)  0.06
Y (0.812, 0.083, 0.625)  0.06
Y (0.322, 0.670, 0.644)  0.03
Y (0.678, 0.330, 0.356)  0.03
I (0.086, 0.188, 0.173)  0.00
I (0.914, 0.812, 0.827)  0.00
I (0.403, 0.266, 0.806)  0.00
I (0.597, 0.734, 0.194)  0.00
Cl (0.204, 0.565, 0.408)  0.00
Cl (0.796, 0.435, 0.592)  0.00


[5]
First-principles (PBE) data for a geometry-optimized CaNd2Rh structure, as listed in Alexandria.

Computed properties:
Formation enthalpy at 0 K: -0.352 eV per atom
Energy above the lowest structure with this stoichiometry: 31 meV/atom
Symmetry: Cmcm

Lattice parameters (Å, degrees): 4.072 6.631 9.278 90.00 90.00 107.92
Element x y z (fractional)
Ca (0.926, 0.852, 0.250)
Ca (0.074, 0.148, 0.750)
Nd (0.356, 0.712, 0.563)
Nd (0.644, 0.288, 0.437)
Nd (0.356, 0.712, 0.937)
Nd (0.644, 0.288, 0.063)
Rh (0.759, 0.517, 0.750)
Rh (0.241, 0.483, 0.250)


[6]
First-principles (PBE) data for a geometry-optimized BeCuAs2 structure, as listed in Alexandria.

Computed properties:
Formation enthalpy at 0 K: 0.201 eV per atom
Symmetry: C2/m

Lattice parameters (Å, degrees): 3.762 3.762 5.760 75.33 75.33 50.78
Element x y z (fractional)
Be (0.750, 0.750, 0.750)
As (0.997, 0.997, 0.977)
As (0.503, 0.503, 0.523)
Cu (0.250, 0.250, 0.250)


[7]
First-principles (PBE) data for a geometry-optimized PaTl3Se4 structure, as listed in Alexandria.

Computed properties:
Formation energy from raw total energies: -841 meV/atom
Energy above the lowest structure with this stoichiometry: 0 meV/atom
Symmetry: Cmmm

Lattice parameters (Å, degrees): 4.319 7.914 7.914 108.05 90.00 90.00
Element x y z (fractional)
Tl (0.000, 0.000, 0.500)
Tl (0.500, 0.500, 0.500)
Tl (0.000, 0.500, 0.000)
Pa (0.500, 0.000, 0.000)
Se (0.000, 0.205, 0.205)
Se (0.500, 0.789, 0.211)
Se (0.000, 0.795, 0.795)
Se (0.500, 0.211, 0.789)


[8]
First-principles (PBE) data for a geometry-optimized BaGaHg3 structure, as listed in Alexandria.

Computed properties:
Formation enthalpy at 0 K: -0.227 eV per atom
Energy above the lowest structure with this stoichiometry: 70 meV/atom
Symmetry: Pm-3m

Lattice parameters (Å, degrees): 5.370 5.370 5.370 90.00 90.00 90.00
Element x y z (fractional)
Hg (0.000, 0.500, 0.000)
Hg (0.000, 0.000, 0.500)
Hg (0.500, 0.000, 0.000)
Ga (0.000, 0.000, 0.000)
Ba (0.500, 0.500, 0.500)